This record from Alexandria describes TaNi8Pd2 after structural relaxation. The functional is PBE.

Computed properties:
M_tot   2.11 μB per formula unit
V   138 Å³ per cell
Formation enthalpy at 0 K   0.044 eV per atom
Final energy   -6.182 eV per atom
Space-group type   C2/m (12)

The structure in extended XYZ format:
```
11
Lattice="4.250 0.497 -0.915 -0.998 4.374 -2.294 -0.810 0.602 7.041" Properties=species:S:1:pos:R:3 pbc="T T T"
Pd 1.926 3.554 0.398
Pd 0.515 1.918 3.434
Ni 2.447 1.447 1.689
Ni -0.571 4.148 -0.373
Ni -0.010 1.782 0.865
Ni 2.451 3.690 2.968
Ni 3.012 1.325 4.205
Ni 2.682 2.542 -1.823
Ni -0.006 4.025 2.144
Ni -0.241 2.930 5.655
Ta 2.125 0.248 -0.458
```

This record from Alexandria describes TaNi3Pd after structural relaxation. The functional is PBE.

Computed properties:
M_tot   0.00 μB per formula unit
V   137 Å³ per cell
Formation enthalpy at 0 K   -0.046 eV per atom
Final energy   -6.924 eV per atom
Space-group type   Ama2 (40)

The structure in extended XYZ format:
```
10
Lattice="4.318 0.287 0.000 -1.356 4.110 0.000 0.000 0.000 7.560" Properties=species:S:1:pos:R:3 pbc="T T T"
Pd 0.641 3.406 1.890
Pd 2.916 1.873 5.670
Ni 0.594 2.622 6.916
Ni 2.207 1.535 3.136
Ni 0.594 2.622 4.423
Ni 2.207 1.535 0.644
Ni -0.017 1.086 1.890
Ni 1.012 0.392 5.670
Ta 2.681 3.979 0.000
Ta 2.681 3.979 3.780
```

This record from Alexandria describes TaNi2Pd2 after structural relaxation. The functional is PBE.

Computed properties:
M_tot   0.00 μB per formula unit
V   143 Å³ per cell
Formation enthalpy at 0 K   0.017 eV per atom
Final energy   -6.743 eV per atom
Space-group type   P4/mbm (127)

The structure in extended XYZ format:
```
10
Lattice="7.111 0.000 0.000 0.000 7.111 0.000 0.000 0.000 2.837" Properties=species:S:1:pos:R:3 pbc="T T T"
Ta 3.556 3.556 0.000
Ta 0.000 0.000 0.000
Ni 2.406 1.149 1.418
Ni 5.962 2.406 1.418
Ni 4.705 5.962 1.418
Ni 1.149 4.705 1.418
Pd 0.965 2.590 0.000
Pd 6.146 4.521 0.000
Pd 2.590 6.146 0.000
Pd 4.521 0.965 0.000
```

This record from Alexandria describes TaNiPd4 after structural relaxation. The functional is PBE.

Computed properties:
M_tot   0.00 μB per formula unit
V   93 Å³ per cell
Formation enthalpy at 0 K   -0.164 eV per atom
Final energy   -6.565 eV per atom
Space-group type   C2/m (12)

The structure in extended XYZ format:
```
6
Lattice="-2.985 -3.267 0.951 4.202 -1.573 0.603 0.485 -0.958 5.355" Properties=species:S:1:pos:R:3 pbc="T T T"
Pd -0.031 -1.565 1.734
Pd 1.733 -4.234 5.175
Pd 0.209 -2.029 4.443
Pd 1.492 -3.770 2.467
Ni 2.101 -0.787 0.301
Ta 2.343 -1.266 2.979
```

This record from Alexandria describes TaNi2Pd6 after structural relaxation. The functional is PBE.

Computed properties:
M_tot   1.05 μB per formula unit
V   277 Å³ per cell
Formation enthalpy at 0 K   -0.057 eV per atom
Final energy   -6.120 eV per atom
Space-group type   C2/c (15)

The structure in extended XYZ format:
```
18
Lattice="-0.962 0.694 -5.187 1.021 -6.807 -2.744 -7.078 -2.104 -0.613" Properties=species:S:1:pos:R:3 pbc="T T T"
Pd -4.697 -3.397 -4.005
Pd 0.033 -2.717 -2.421
Pd -3.376 -7.704 -4.370
Pd -2.322 -4.821 -4.538
Pd -0.724 -1.034 -4.436
Pd -3.644 -0.514 -4.174
Pd -5.293 -7.698 -7.092
Pd -5.180 -3.094 -6.507
Pd -7.052 -5.501 -6.123
Pd -6.295 -7.184 -4.108
Pd -1.840 -5.124 -2.037
Pd -1.727 -0.519 -1.452
Ni -4.532 -5.636 -5.574
Ni -2.488 -2.582 -2.970
Ni -2.674 -2.406 -5.641
Ni -4.345 -5.812 -2.903
Ta -0.762 -5.671 -6.355
Ta -6.258 -2.547 -2.189
```

This record from Alexandria describes Ta2Ni3Pd4 after structural relaxation. The functional is PBE.

Computed properties:
M_tot   0.00 μB per formula unit
V   128 Å³ per cell
Formation enthalpy at 0 K   -0.344 eV per atom
Final energy   -7.213 eV per atom
Space-group type   C2/m (12)

The structure in extended XYZ format:
```
9
Lattice="-1.989 2.540 -2.041 -0.086 -0.976 -4.702 -6.987 -3.700 -1.368" Properties=species:S:1:pos:R:3 pbc="T T T"
Ta -2.292 -0.142 -1.514
Ta -6.770 -1.994 -6.596
Ni -4.466 -0.160 -2.988
Ni -4.595 -1.977 -5.123
Ni 0.000 0.000 0.000
Pd -6.919 -2.863 -3.962
Pd -2.142 0.726 -4.149
Pd -4.675 -2.740 -2.426
Pd -4.387 0.604 -5.685
```

This record from Alexandria describes TaNi7Pd2 after structural relaxation. The functional is PBE.

Computed properties:
M_tot   3.36 μB per formula unit
V   142 Å³ per cell
Formation enthalpy at 0 K   0.272 eV per atom
Final energy   -5.998 eV per atom
Space-group type   Cmmm (65)

The structure in extended XYZ format:
```
10
Lattice="2.602 0.000 0.000 0.000 7.426 -2.836 0.000 -1.280 7.845" Properties=species:S:1:pos:R:3 pbc="T T T"
Ni 0.000 1.799 4.067
Ni 0.000 4.347 0.942
Ni 1.301 0.723 2.208
Ni 1.301 2.308 0.263
Ni 1.301 3.073 2.505
Ni 1.301 5.423 2.801
Ni 1.301 3.838 4.747
Pd 1.301 0.444 5.730
Pd 1.301 5.702 -0.720
Ta 0.000 0.000 0.000
```

This record from Alexandria describes Ta2Ni2Pd after structural relaxation. The functional is PBE.

Computed properties:
M_tot   0.00 μB per formula unit
V   153 Å³ per cell
Formation enthalpy at 0 K   0.015 eV per atom
Final energy   -8.077 eV per atom
Space-group type   P4/mbm (127)

The structure in extended XYZ format:
```
10
Lattice="7.461 0.000 0.000 0.000 7.461 0.000 0.000 0.000 2.755" Properties=species:S:1:pos:R:3 pbc="T T T"
Ta 6.230 4.961 0.000
Ta 1.231 2.500 0.000
Ta 2.500 6.230 0.000
Ta 4.961 1.231 0.000
Pd 0.000 0.000 0.000
Pd 3.730 3.730 0.000
Ni 2.776 0.954 1.377
Ni 4.685 6.507 1.377
Ni 6.507 2.776 1.377
Ni 0.954 4.685 1.377
```

This record from Alexandria describes TaNi4Pd2 after structural relaxation. The functional is PBE.

Computed properties:
M_tot   0.75 μB per formula unit
V   101 Å³ per cell
Formation enthalpy at 0 K   0.414 eV per atom
Final energy   -6.066 eV per atom
Space-group type   I4/mmm (139)

The structure in extended XYZ format:
```
7
Lattice="-2.992 3.589 0.258 -0.979 -0.489 -4.550 -1.419 -4.464 3.192" Properties=species:S:1:pos:R:3 pbc="T T T"
Ni -2.192 -1.702 -1.752
Ni -3.199 0.337 0.652
Ni -1.496 1.795 0.129
Ni -0.490 -0.245 -2.275
Pd -2.411 -2.063 0.741
Pd -2.980 0.699 -1.840
Ta 0.000 0.000 0.000
```

This record from Alexandria describes TaNi2TePd after structural relaxation. The functional is PBE.

Computed properties:
M_tot   0.00 μB per formula unit
V   104 Å³ per cell
Final energy   -5.332 eV per atom
Space-group type   P4/mmm (123)
Formation energy without anion corrections   1017.8 meV/atom

The structure in extended XYZ format:
```
5
Lattice="-2.552 0.009 -3.830 -3.553 -2.463 2.362 -1.910 3.985 1.282" Properties=species:S:1:pos:R:3 pbc="T T T"
Pd -1.777 -1.231 1.181
Ta 0.000 0.000 0.000
Ni -0.955 1.993 0.641
Ni -1.276 0.004 -1.915
Te -4.008 0.766 -0.093
```

This record from Alexandria describes TaTiNiPd after structural relaxation. The functional is PBE.

Computed properties:
M_tot   0.00 μB per formula unit
V   61 Å³ per cell
Formation enthalpy at 0 K   -0.396 eV per atom
Final energy   -8.077 eV per atom
Space-group type   P4mm (99)

The structure in extended XYZ format:
```
4
Lattice="3.179 0.000 0.000 0.000 3.179 0.000 0.000 0.000 6.023" Properties=species:S:1:pos:R:3 pbc="T T T"
Ti 1.590 1.590 0.741
Ta 0.000 0.000 4.985
Pd 0.000 0.000 2.163
Ni 1.590 1.590 3.722
```

This record from Alexandria describes Tb3NiPd after structural relaxation. The functional is PBE.

Computed properties:
M_tot   0.00 μB per formula unit
V   477 Å³ per cell
Formation enthalpy at 0 K   -0.484 eV per atom
Final energy   -5.457 eV per atom
Space-group type   P2_1/c (14)

The structure in extended XYZ format:
```
20
Lattice="-3.976 5.446 0.785 -1.803 -2.290 6.755 7.826 5.434 1.945" Properties=species:S:1:pos:R:3 pbc="T T T"
Pd -0.370 1.046 3.886
Pd 2.418 7.544 5.599
Pd 2.417 2.926 8.281
Pd -0.370 5.664 1.205
Ni 1.855 2.496 4.045
Ni 4.500 4.571 8.468
Ni 0.192 6.094 5.440
Ni -2.453 4.019 1.017
Tb -2.793 1.502 5.420
Tb 1.649 5.967 7.907
Tb 1.930 5.224 3.285
Tb 0.119 7.969 3.390
Tb -4.819 4.011 6.072
Tb 6.867 4.579 3.413
Tb -1.781 4.967 3.639
Tb 3.828 3.623 5.846
Tb 0.398 2.624 1.578
Tb 0.118 3.366 6.200
Tb 4.841 7.088 4.066
Tb 1.928 0.621 6.095
```